Entry 1:
PBE-GGA CsTe2F, optimized geometry; distance to the lowest polymorph of the same formula = 0.000 eV/atom; total moment = 0.0 Bohr magnetons per cell
1.0
-4.0585 4.3751 -0.8305
-4.3947 -3.7534 1.7034
-3.2002 2.8118 8.5953
Cs Te F
2 4 2
Direct
0.0000 0.0000 0.0000 Cs
0.7500 0.2500 0.5000 Cs
0.3767 0.1250 0.2500 Te
0.3733 0.6250 0.2500 Te
0.3750 0.6233 0.7500 Te
0.8750 0.6267 0.7500 Te
0.5000 0.5000 0.0000 F
0.2500 0.7500 0.5000 F

Entry 2:
PBE-GGA CsTe2F11, optimized geometry; VASP energy = -4.191 eV/atom; total moment = 0.0 Bohr magnetons per cell
1.0
8.7783 -0.0003 4.5759
4.1435 8.0121 2.7599
0.6789 -0.2270 9.4057
Cs Te F
2 4 22
Direct
0.8059 0.7500 0.7500 Cs
0.3059 0.2500 0.2500 Cs
0.6556 0.6655 0.3345 Te
0.3579 0.2919 0.7081 Te
0.8578 0.2081 0.7919 Te
0.1556 0.8345 0.1655 Te
0.6578 0.7229 0.5056 F
0.4061 0.2818 0.4754 F
0.1633 0.5246 0.7182 F
0.9061 0.9754 0.7818 F
0.8864 0.4944 0.2771 F
0.1578 0.0056 0.2229 F
0.3863 0.7771 0.9944 F
0.6633 0.2182 0.0246 F
0.5610 0.5212 0.4788 F
0.0610 0.9788 0.0212 F
0.7464 0.8128 0.1872 F
0.1749 0.2366 0.7634 F
0.6749 0.2634 0.7366 F
0.2464 0.6872 0.3128 F
0.4261 0.8403 0.3879 F
0.4983 0.0427 0.7151 F
0.2561 0.2849 0.9573 F
0.9983 0.2151 0.5427 F
0.6542 0.6121 0.1597 F
0.9261 0.8878 0.3403 F
0.1542 0.6597 0.1122 F
0.7561 0.4573 0.7849 F

> What is the formula in the second record?

CsTe2F11

> total moment of number 1 (CsTe2F)?

0.0 Bohr magnetons per cell

> Number 1 is which compound?

CsTe2F